# B5C3

A relaxed structure of B5C3 (PBE, Alexandria).

Calculated values
Its density of states at the Fermi level is 2.2 states/eV per cell. Its energy relative to the elements is 0.477 eV per atom. The total magnetization comes out at 0.0 μB per formula unit. As for the energy above the lowest structure with this stoichiometry: 207.1 meV per atom.

Cell lengths 9.6492, 2.4527, 4.7040 Å; angles 90.00, 95.78, 90.00 degrees
Space group Cm (No. 8)
Symmetry-distinct sites (fractional):
B 0.0000 0.0000 0.0000 (multiplicity 2)
B 0.0101 0.5000 0.5185 (multiplicity 2)
B 0.1071 0.5000 0.1913 (multiplicity 2)
B 0.1218 0.0000 0.6870 (multiplicity 2)
B 0.3321 0.0000 0.4433 (multiplicity 2)
C 0.2697 0.5000 0.2329 (multiplicity 2)
C 0.2819 0.0000 0.7722 (multiplicity 2)
C 0.3338 0.5000 0.9423 (multiplicity 2)